## SnMo4PC2 (PBE-GGA)

Data for a geometry-optimized SnMo4PC2 structure.

Cell: 3.229 3.229 12.361 Å, 90.00 90.00 120.00°
Fractional coordinates of all 8 atoms:
Sn 0.000 0.000 0.000
Mo 0.000 0.000 0.365
Mo 0.000 0.000 0.635
Mo 0.667 0.333 0.189
Mo 0.667 0.333 0.811
P 0.667 0.333 0.500
C 0.333 0.667 0.265
C 0.333 0.667 0.735

Output
Crystal system   hexagonal
SG   P-6m2 (187)



## PuAgCl5 (PBE-GGA)

Data for a geometry-optimized PuAgCl5 structure.

Cell: 7.157 7.157 10.245 Å, 110.68 110.68 87.60°
Fractional coordinates of all 14 atoms:
Pu 0.000 0.500 0.000
Pu 0.500 0.000 0.500
Ag 0.134 0.866 0.750
Ag 0.866 0.134 0.250
Cl 0.174 0.175 0.482
Cl 0.175 0.174 0.982
Cl 0.184 0.570 0.845
Cl 0.315 0.685 0.250
Cl 0.430 0.816 0.655
Cl 0.570 0.184 0.345
Cl 0.685 0.315 0.750
Cl 0.816 0.430 0.155
Cl 0.825 0.826 0.018
Cl 0.826 0.825 0.518

Output
Crystal system   monoclinic
SG   C2/c (15)



## MgCdAu (PBE-GGA)

Data for a geometry-optimized MgCdAu structure.

Cell: 4.961 5.207 5.207 Å, 58.66 90.00 90.00°
Fractional coordinates of all 6 atoms:
Mg 0.250 0.204 0.796
Mg 0.750 0.796 0.204
Cd 0.250 0.882 0.474
Cd 0.750 0.474 0.882
Au 0.250 0.556 0.150
Au 0.750 0.150 0.556

Output
Distance to the lowest polymorph of the same formula   0 meV/atom
Crystal system   orthorhombic
SG   Ama2 (40)



## Cs2Tb (PBE-GGA)

Data for a geometry-optimized Cs2Tb structure.

Cell: 8.034 8.034 8.034 Å, 60.00 60.00 60.00°
Fractional coordinates of all 6 atoms:
Cs 0.000 0.000 0.000
Cs 0.000 0.000 0.500
Cs 0.000 0.500 0.000
Cs 0.500 0.000 0.000
Tb 0.375 0.375 0.375
Tb 0.625 0.625 0.625

Output
Crystal system   cubic
SG   Fd-3m (227)



no.,total energy (eV per cell)
1,-72.03
2,-71.10
3,-13.58
4,-7.39